5
Lattice="-1.797 -2.926 -2.132 3.271 -0.292 -2.356 1.565 -2.796 2.519" Properties=species:S:1:pos:R:3 comment="CrMoOF2 PBE with a Hubbard U relaxed" e_tot_ev_per_cell=-30.25 dos_ef_per_ev_cell=2.17 pbc="T T T"
Cr 0.000 0.000 0.000
Mo 1.520 -3.007 -0.985
O 0.782 -1.398 1.260
F 1.636 -0.146 -1.178
F -0.898 -1.463 -1.066